# CdMo2Br

CdMo2Br after structural relaxation (PBE-GGA, the Alexandria database).

The volume is 17.70 Å³ per atom. The value obtained for the excess energy over the best structure of this formula in the dataset is 508 meV/atom. Its total magnetization is 0.0 μB/f.u. For the formation energy from raw total energies, the calculation gives 2.87 eV per formula unit. Its crystal system is trigonal.

It has space group R-3m (No. 166, hexagonal axes), with a = 2.9956 Å, b = 2.9956 Å, c = 27.3280 Å, α = 90.00°, β = 90.00° and γ = 120.00°. Symmetry generates all atoms from Cd at (0.0000, 0.0000, 0.0000), Mo at (0.0000, 0.0000, 0.2442) and Br at (0.0000, 0.0000, 0.5000).